# GGA-PBE PaNiPb, optimized geometry
data_PaNiPb
_space_group_name_H-M_alt 'F -4 3 m'
_space_group_IT_number 216
_space_group_name_Hall 'F -4 2 3'
_cell_length_a 6.5024
_cell_length_b 6.5024
_cell_length_c 6.5024
_cell_angle_alpha 90.00
_cell_angle_beta 90.00
_cell_angle_gamma 90.00
loop_
_atom_site_label
_atom_site_type_symbol
_atom_site_fract_x
_atom_site_fract_y
_atom_site_fract_z
_atom_site_occupancy
Pa1 Pa 0.0000 0.0000 0.0000 1
Ni1 Ni 0.2500 0.2500 0.7500 1
Pb1 Pb 0.0000 0.0000 0.5000 1
# E_form: -192 meV per atom
# Crystal system: cubic